Entry 1:
## Na4Cu3AgF12 (GGA-PBE)

Data for a relaxed structure of Na4Cu3AgF12.

Geometry as POSCAR:
```
Na4Cu3AgF12
1.0
-4.067 4.067 4.067
4.067 -4.067 4.067
4.067 4.067 -4.067
Na Cu Ag F
4 3 1 12
direct
0.000 0.000 0.500
0.000 0.500 0.000
0.500 0.000 0.000
0.500 0.500 0.500
0.000 0.500 0.500
0.500 0.000 0.500
0.500 0.500 0.000
0.000 0.000 0.000
0.157 0.332 0.489
0.157 0.668 0.824
0.176 0.843 0.332
0.332 0.176 0.843
0.332 0.489 0.157
0.489 0.157 0.332
0.511 0.843 0.668
0.668 0.511 0.843
0.668 0.824 0.157
0.824 0.157 0.668
0.843 0.332 0.176
0.843 0.668 0.511
```

Total energy, eV/cell: -81.99
Fermi-level density of states, states/eV per cell: 11.60

=====

Entry 2:
## Na2CuAgF8 (GGA-PBE)

Data for a relaxed structure of Na2CuAgF8.

Geometry as POSCAR:
```
Na2CuAgF8
1.0
4.866 0.000 0.000
0.556 4.970 0.000
0.768 0.831 7.262
Na Cu Ag F
2 1 1 8
direct
0.006 0.003 0.241
0.994 0.997 0.759
0.500 0.500 0.000
0.500 0.500 0.500
0.178 0.773 0.507
0.209 0.754 0.005
0.340 0.293 0.723
0.341 0.308 0.196
0.659 0.692 0.804
0.660 0.707 0.277
0.791 0.246 0.995
0.822 0.227 0.493
```

Total energy, eV/cell: -46.03

=====

Entry 3:
## NdCu2AgF8 (GGA-PBE)

Data for a relaxed structure of NdCu2AgF8.

Geometry as POSCAR:
```
NdCu2AgF8
1.0
-2.828 2.828 5.338
2.828 -2.828 5.338
2.828 2.828 -5.338
Nd Cu Ag F
1 2 1 8
direct
0.000 0.000 0.000
0.500 0.500 0.000
0.750 0.250 0.500
0.250 0.750 0.500
0.268 0.393 0.558
0.290 0.732 0.125
0.394 0.063 0.079
0.607 0.165 0.875
0.685 0.606 0.668
0.835 0.710 0.442
0.937 0.016 0.332
0.984 0.315 0.921
```

Total energy, eV/cell: -57.63
Fermi-level density of states, states/eV per cell: 0.87

=====

no.,spin magnetization (μB per formula unit),formation energy (no corrections) (meV/atom)
1,2.00,-1956
2,0.00,-1789
3,2.03,-2238